Entry from Alexandria via LeMat-Bulk: La4SnGe after structural relaxation (PBE-GGA).

Cell: 5.2605 5.2604 9.2329 Å, 73.41 73.40 60.12°
Closest atoms and distances in Å follow each position.
Atoms (fractional coordinates):
1 La 0.6287 0.6287 0.1123  3 Ge 3.19, 1 Sn 3.38
2 La 0.3713 0.3713 0.8877  3 Ge 3.19, 1 Sn 3.38
3 Sn 0.5000 0.5000 0.5000  8 La 3.28-3.38
4 La 0.8808 0.8809 0.3585  1 Ge 3.12, 3 Sn 3.28
5 Ge 0.0000 0.0000 0.0000  8 La 3.12-3.19
6 La 0.1192 0.1191 0.6415  1 Ge 3.12, 3 Sn 3.28

Energy relative to the lowest polymorph listed for this composition ... 7.6 kJ per mole of atoms
D(E_F) ... 8.3 states/eV/cell
Formation energy from the elements ... -0.52 eV/atom
Total energy ... -31.46 eV per formula unit
Volume ... 34.85 A^3/atom
Space-group type ... C2/m (12)